# Dy4Ag3Pt

Crystalline Dy4Ag3Pt at its relaxed geometry (PBE, Alexandria).

Cell and atoms, written as CIF:
```
data_Dy4Ag3Pt
_chemical_formula_sum 'Dy4 Ag3 Pt1'
_cell_length_a 3.5916
_cell_length_b 3.5916
_cell_length_c 14.4457
_cell_angle_alpha 90.00
_cell_angle_beta 90.00
_cell_angle_gamma 90.00
_space_group_name_H-M_alt 'P 4/m m m'
_space_group_IT_number 123
_space_group_name_Hall '-P 4 2'
loop_
_atom_site_label
_atom_site_type_symbol
_atom_site_fract_x
_atom_site_fract_y
_atom_site_fract_z
Dy1 Dy 0.0000 0.0000 0.1148
Dy2 Dy 0.0000 0.0000 0.3719
Ag1 Ag 0.5000 0.5000 0.2461
Ag2 Ag 0.5000 0.5000 0.5000
Pt1 Pt 0.5000 0.5000 0.0000
```

Output
The calculation puts the formation enthalpy at 0 K at -0.562 eV/atom.


# TlAgSbCl6

Crystalline TlAgSbCl6 at its relaxed geometry (PBE, Alexandria).

Cell and atoms, written as CIF:
```
data_TlAgSbCl6
_chemical_formula_sum 'Tl2 Ag2 Sb2 Cl12'
_cell_length_a 6.9864
_cell_length_b 6.9864
_cell_length_c 13.6134
_cell_angle_alpha 90.00
_cell_angle_beta 90.00
_cell_angle_gamma 120.00
_space_group_name_H-M_alt 'P -3 1 c'
_space_group_IT_number 163
_space_group_name_Hall '-P 3 2c'
loop_
_atom_site_label
_atom_site_type_symbol
_atom_site_fract_x
_atom_site_fract_y
_atom_site_fract_z
Tl1 Tl 0.0000 0.0000 0.0000
Ag1 Ag 0.3333 0.6667 0.2500
Sb1 Sb 0.3333 0.6667 0.7500
Cl1 Cl 0.0242 0.3765 0.6418
```

Output
Its formation energy without anion corrections is -0.7356 eV per atom.


# Tb3NdCo

Crystalline Tb3NdCo at its relaxed geometry (PBE, Alexandria).

Cell and atoms, written as CIF:
```
data_Tb3NdCo
_chemical_formula_sum 'Tb3 Nd1 Co1'
_cell_length_a 5.3242
_cell_length_b 5.3242
_cell_length_c 5.3242
_cell_angle_alpha 90.00
_cell_angle_beta 90.00
_cell_angle_gamma 90.00
_space_group_name_H-M_alt 'P m -3 m'
_space_group_IT_number 221
_space_group_name_Hall '-P 4 2 3'
loop_
_atom_site_label
_atom_site_type_symbol
_atom_site_fract_x
_atom_site_fract_y
_atom_site_fract_z
Tb1 Tb 0.0000 0.0000 0.5000
Nd1 Nd 0.5000 0.5000 0.5000
Co1 Co 0.0000 0.0000 0.0000
```

Output
The calculation puts the formation enthalpy at 0 K at -0.006 eV/atom. The calculation puts the energy above the most stable polymorph in this dataset at 8.0 kJ/mol of atoms.


Number 1: electronic total energy -37.501 eV/f.u.. Number 2: electronic total energy -27.040 eV/f.u.. Number 3: electronic total energy -25.794 eV/f.u..